Below is a relaxed structure of Al3GaP, with properties calculated at the GGA-PBE level.

Properties
Formation energy: 663 meV/atom
Total moment: 0.00 μB per atom
V: 107 Å³/f.u.
Distance to the lowest polymorph of the same formula: 255.5 meV/atom
E_tot: -3.270 eV per atom
SG: Pm-3m (221)

Cell: 4.750 4.750 4.750 Å, 90.00 90.00 90.00°
Sites, in units of the cell vectors:
Al1 0.000 0.000 0.500
Ga1 0.000 0.000 0.000
P1 0.500 0.500 0.500
Al2 0.000 0.500 0.000
Al3 0.500 0.000 0.000

Below is a relaxed structure of CrFeSeN2, with properties calculated at the GGA-PBE level.

Properties
Total moment: 0.05 μB per atom
V: 67 Å³/f.u.
Distance to the lowest polymorph of the same formula: 464.5 meV/atom
E_tot: -6.584 eV per atom
SG: P4/mmm (123)

Cell: 3.545 3.545 5.321 Å, 90.00 90.00 90.00°
Site moments in Bohr magnetons follow the coordinates.
Sites, in units of the cell vectors:
N1 0.000 0.500 0.000  -0.07
Cr1 0.500 0.500 0.500  0.55
Se1 0.000 0.000 0.500  0.01
N2 0.500 0.000 0.000  -0.07
Fe1 0.000 0.000 0.000  -0.14

Below is a relaxed structure of Sr5Sm, with properties calculated at the GGA-PBE level.

Properties
Formation energy: 105 meV/atom
Total moment: 0.00 μB per atom
V: 291 Å³/f.u.
E_tot: -2.083 eV per atom
SG: Cmmm (65)

Cell: 4.461 6.588 10.429 Å, 108.41 90.00 90.00°
Sites, in units of the cell vectors:
Sr1 0.500 0.155 0.309
Sr2 0.500 0.845 0.691
Sr3 0.500 0.500 0.000
Sr4 0.000 0.331 0.661
Sr5 0.000 0.669 0.339
Sm1 0.000 0.000 0.000

Below is a relaxed structure of NaLiBeS2, with properties calculated at the GGA-PBE level.

Properties
Total moment: 0.00 μB per atom
V: 87 Å³/f.u.
Distance to the lowest polymorph of the same formula: 700.0 meV/atom
E_tot: -3.341 eV per atom
SG: P4/mmm (123)

Cell: 4.456 4.358 4.456 Å, 90.00 90.00 90.00°
Sites, in units of the cell vectors:
S1 0.000 0.000 0.500
S2 0.500 0.000 0.000
Be1 0.000 0.000 0.000
Li1 0.000 0.500 0.000
Na1 0.500 0.500 0.500

Below is a relaxed structure of Nb2Al2Sn, with properties calculated at the GGA-PBE level.

Properties
Formation energy: -54 meV/atom
Total moment: 0.00 μB per atom
V: 89 Å³/f.u.
Distance to the lowest polymorph of the same formula: 0.0 meV/atom
E_tot: -6.379 eV per atom
SG: P4/mbm (127)

Cell: 7.013 7.013 3.614 Å, 90.00 90.00 90.00°
Sites, in units of the cell vectors:
Sn1 0.500 0.500 0.000
Nb1 0.827 0.327 0.500
Al1 0.124 0.376 0.000
Al2 0.376 0.876 0.000
Al3 0.876 0.624 0.000
Nb2 0.173 0.673 0.500
Nb3 0.673 0.827 0.500
Nb4 0.327 0.173 0.500
Sn2 0.000 0.000 0.000
Al4 0.624 0.124 0.000

Below is a relaxed structure of SrPr4Bi5, with properties calculated at the GGA-PBE level.

Properties
Formation energy: -900 meV/atom
Total moment: 0.00 μB per atom
V: 362 Å³/f.u.
E_tot: -4.920 eV per atom
SG: Immm (71)

Cell: 4.652 6.617 12.441 Å, 105.42 100.78 90.00°
Sites, in units of the cell vectors:
Pr1 0.599 0.599 0.198
Bi1 0.395 0.895 0.789
Pr2 0.799 0.799 0.598
Bi2 0.000 0.500 0.000
Pr3 0.201 0.201 0.402
Bi3 0.199 0.699 0.398
Bi4 0.605 0.105 0.211
Pr4 0.401 0.401 0.802
Bi5 0.801 0.301 0.602
Sr1 0.000 0.000 0.000

Below is a relaxed structure of ErBOs, with properties calculated at the GGA-PBE level.

Properties
Formation energy: -380 meV/atom
Total moment: 0.00 μB per atom
V: 45 Å³/f.u.
Distance to the lowest polymorph of the same formula: 25.0 meV/atom
E_tot: -7.870 eV per atom
SG: P2_1/m (11)

Cell: 3.181 5.815 4.943 Å, 99.58 90.00 90.00°
Sites, in units of the cell vectors:
Os1 0.750 0.198 0.556
Er1 0.750 0.738 0.941
Er2 0.250 0.262 0.059
B1 0.250 0.469 0.594
B2 0.750 0.531 0.406
Os2 0.250 0.802 0.444

Below is a relaxed structure of BaLiDySe3, with properties calculated at the GGA-PBE level.

Properties
Total moment: 0.00 μB per atom
V: 170 Å³/f.u.
E_tot: -4.963 eV per atom
SG: P2_1/m (11)

Cell: 4.257 8.874 9.314 Å, 105.28 90.00 90.00°
Sites, in units of the cell vectors:
Se1 0.750 0.211 0.525
Se2 0.250 0.115 0.869
Li1 0.250 0.086 0.591
Li2 0.750 0.914 0.409
Ba1 0.750 0.805 0.756
Se3 0.750 0.450 0.163
Ba2 0.250 0.195 0.244
Se4 0.750 0.885 0.131
Se5 0.250 0.550 0.837
Dy1 0.250 0.672 0.159
Se6 0.250 0.789 0.475
Dy2 0.750 0.328 0.841

Which formula does entry 4 have?
NaLiBeS2